No. 1
The following is a DFT calculation (GGA-PBE) of an optimized crystal structure of CsSrHoCl6.

Cell and atoms, written as extended XYZ:
```
9
Lattice="7.3867 0.0000 0.0000 -3.6933 6.3970 0.0000 0.0000 0.0000 7.5004" Properties=species:S:1:pos:R:3 pbc="T T T"
Cs 0.0000 0.0000 0.0000
Sr 0.0000 4.2647 3.7502
Ho 3.6933 2.1323 3.7502
Cl 2.7839 0.1703 5.2802
Cl 1.5394 2.3258 2.2202
Cl 4.6028 0.1703 2.2202
Cl 2.4489 3.9010 5.2802
Cl 5.8472 2.3258 5.2802
Cl 4.9378 3.9010 2.2202
```

Computed properties:
Raw total energy: -4.35 eV per atom
Raw formation energy: -2328 meV/atom

No. 2
The following is a DFT calculation (GGA-PBE) of an optimized crystal structure of VIrRh.

Cell and atoms, written as extended XYZ:
```
6
Lattice="1.3767 -7.0270 0.0000 1.3767 7.0270 0.0000 0.0000 0.0000 4.3283" Properties=species:S:1:pos:R:3 pbc="T T T"
V 1.3767 5.4882 3.2462
V 1.3767 -5.4882 1.0821
Ir 1.3767 0.8176 3.2462
Ir 1.3767 -0.8176 1.0821
Rh 1.3767 3.8587 1.0821
Rh 1.3767 -3.8587 3.2462
```

Computed properties:
Raw total energy: -8.84 eV per atom
ΔE_f: -0.397 eV per atom

Question: raw total energy of number 2 (VIrRh)?
Answer: -8.84 eV per atom

Question: Which value of raw total energy does entry 1 give?
Answer: -4.35 eV per atom

Question: What is the raw total energy in the second record?
Answer: -8.84 eV per atom